Entry 1:
First-principles (GGA-PBE) data for an optimized crystal structure of CsHfPS2, as listed in Alexandria.

```
CsHfPS2
1.0
5.0818 0.0000 0.0000
0.0000 5.0818 0.0000
0.0000 0.0000 5.1724
P S Cs Hf
1 2 1 1
Cartesian
0.0000 0.0000 2.5862 P
0.0000 2.5409 0.0000 S
2.5409 0.0000 0.0000 S
2.5409 2.5409 2.5862 Cs
0.0000 0.0000 0.0000 Hf
```

Output
Distance to the lowest polymorph of the same formula: 0.000 eV per formula unit
Formation energy without anion corrections: -0.79 eV/atom
Symmetry: P4/mmm

=====

Entry 2:
First-principles (GGA-PBE) data for an optimized crystal structure of CaAl3Te, as listed in Alexandria.

```
CaAl3Te
1.0
-2.9039 4.5849 -1.6094
0.5811 -1.5338 -5.4179
-4.8243 -2.9445 0.3161
Al Te Ca
3 1 1
Cartesian
0.2906 -0.7669 -2.7089 Al
-1.4519 2.2924 -0.8047 Al
-2.4121 -1.4723 0.1581 Al
-3.5735 0.0533 -3.3556 Te
0.0000 0.0000 0.0000 Ca
```

Output
Distance to the lowest polymorph of the same formula: 2.395 eV per formula unit
Formation energy without anion corrections: 1.05 eV/atom
Symmetry: Pm-3m

=====

Entry 3:
First-principles (GGA-PBE) data for an optimized crystal structure of LaMn, as listed in Alexandria.

```
LaMn
1.0
9.0905 0.0000 0.0000
0.0000 13.4769 0.0000
0.0000 0.0000 5.7342
Mn La
16 16
Cartesian
0.0000 12.4431 0.0000 Mn
4.5453 12.4431 2.8671 Mn
6.8179 4.4030 1.4336 Mn
0.0000 7.7722 2.8671 Mn
0.0000 1.0338 0.0000 Mn
6.8179 11.1414 4.3007 Mn
4.5453 7.7722 0.0000 Mn
4.5453 1.0338 2.8671 Mn
4.5453 5.7047 0.0000 Mn
2.2726 4.4030 4.3007 Mn
6.8179 2.3355 1.4336 Mn
6.8179 9.0739 4.3007 Mn
2.2726 2.3355 4.3007 Mn
2.2726 9.0739 1.4336 Mn
0.0000 5.7047 2.8671 Mn
2.2726 11.1414 1.4336 Mn
1.5711 6.7384 0.0000 La
1.5711 0.0000 2.8671 La
3.8437 10.1077 4.3007 La
7.5195 0.0000 2.8671 La
6.1164 0.0000 0.0000 La
6.1164 6.7384 2.8671 La
0.7016 10.1077 4.3007 La
3.8437 3.3692 1.4336 La
8.3890 10.1077 1.4336 La
2.9742 0.0000 0.0000 La
0.7016 3.3692 1.4336 La
7.5195 6.7384 0.0000 La
5.2468 10.1077 1.4336 La
5.2468 3.3692 4.3007 La
2.9742 6.7384 2.8671 La
8.3890 3.3692 4.3007 La
```

Output
Energy of formation: 0.40 eV per atom
Symmetry: Fddd